A plane-wave DFT calculation with PBE was carried out for a geometry-optimized CsInTe2 structure.

```
8
Lattice="-2.620 6.319 3.802 -1.363 -7.225 2.780 5.855 3.291 3.874" Properties=species:S:1:pos:R:3 pbc="T T T"
Cs -2.201 0.050 7.081
Cs -1.741 3.103 3.305
Te 0.428 0.005 4.148
Te 2.665 -4.386 5.701
Te 4.073 0.123 6.378
Te 1.154 4.351 5.949
In 2.328 1.956 5.067
In 2.595 -1.738 4.762
```

Calculated values
* symmetry: No. 1
* uncorrected formation energy: -695.7 meV/atom

A plane-wave DFT calculation with PBE was carried out for a geometry-optimized MgPaGe2O8 structure.

```
12
Lattice="-2.906 5.044 0.693 -0.631 -3.603 4.581 5.700 1.257 -0.540" Properties=species:S:1:pos:R:3 pbc="T T T"
Mg 0.000 0.000 0.000
Pa 1.650 -0.813 3.339
Ge 0.513 3.511 1.395
Ge -1.769 0.720 2.637
O 0.628 2.038 0.395
O -0.169 0.015 2.480
O 3.584 2.173 0.388
O 1.699 4.453 0.454
O -1.858 2.186 3.599
O -1.109 4.225 1.591
O 0.833 3.326 3.140
O 2.769 1.022 3.001
```

Calculated values
* symmetry: No. 119
* uncorrected formation energy: -2179.6 meV/atom

A plane-wave DFT calculation with PBE was carried out for a geometry-optimized Ho2Ga5Co4 structure.

```
11
Lattice="-3.885 3.200 -1.396 -3.172 2.029 3.707 2.619 7.445 0.006" Properties=species:S:1:pos:R:3 pbc="T T T"
Ho -2.531 4.934 -1.187
Ho 1.266 5.711 -0.203
Ga -1.942 1.600 -0.698
Ga -1.586 1.014 1.853
Ga -3.528 2.614 1.155
Ga -1.247 5.537 1.508
Ga -3.190 7.137 0.810
Co -0.869 7.684 0.491
Co -3.568 4.990 1.826
Co -1.157 3.226 0.845
Co -3.280 9.447 1.473
```

Calculated values
* symmetry: No. 69
* uncorrected energy: -56.615 eV for the cell shown

A plane-wave DFT calculation with PBE was carried out for a geometry-optimized Pr4AlPd3 structure.

```
8
Lattice="3.993 0.000 0.000 0.000 4.561 0.000 0.000 0.000 11.368" Properties=species:S:1:pos:R:3 pbc="T T T"
Pr 1.996 2.281 4.171
Pr 0.000 2.281 9.698
Pr 0.000 0.000 1.658
Pr 1.996 0.000 7.205
Al 1.996 2.281 0.782
Pd 0.000 2.281 6.645
Pd 0.000 0.000 4.789
Pd 1.996 0.000 10.523
```

Calculated values
* symmetry: No. 25
* uncorrected energy: -43.695 eV for the cell shown

Number 1: DOS at the Fermi energy 0.000 states/eV/atom. Number 2: DOS at the Fermi energy 0.681 states/eV/atom. Number 3: DOS at the Fermi energy 1.069 states/eV/atom. Number 4: DOS at the Fermi energy 0.723 states/eV/atom.